# 1
A relaxed structure of TlW3O9, computed with GGA-PBEsol.

## Properties
* total moment: 0.0 μB per formula unit
* Fermi-level density of states: 1.61 states/eV/cell
* energy relative to the elements, uncorrected: -2.03 eV per atom

Cell: 7.421 7.421 3.816 Å, 90.00 90.00 120.00°
Sites, in units of the cell vectors:
Tl: 0.000 0.000 0.000
W: 0.000 0.500 0.693
W: 0.500 0.000 0.693
W: 0.500 0.500 0.693
O: 0.000 0.500 0.194
O: 0.211 0.423 0.696
O: 0.211 0.789 0.696
O: 0.423 0.211 0.696
O: 0.500 0.000 0.194
O: 0.500 0.500 0.194
O: 0.577 0.789 0.696
O: 0.789 0.211 0.696
O: 0.789 0.577 0.696

=====

# 2
A relaxed structure of Tl3WO, computed with GGA-PBEsol.

## Properties
* total moment: 2.9 μB per formula unit
* Fermi-level density of states: 5.27 states/eV/cell
* energy relative to the elements, uncorrected: 1.23 eV per atom

Cell: 5.315 5.315 5.315 Å, 90.00 90.00 90.00°
Sites, in units of the cell vectors:
Tl: 0.000 0.000 0.500
Tl: 0.000 0.500 0.000
Tl: 0.500 0.000 0.000
W: 0.000 0.000 0.000
O: 0.500 0.500 0.500

=====

# 3
A relaxed structure of TlW6O18, computed with GGA-PBEsol.

## Properties
* total moment: 0.0 μB per formula unit
* Fermi-level density of states: 2.47 states/eV/cell
* energy relative to the elements, uncorrected: -2.08 eV per atom

Cell: 7.412 7.412 7.615 Å, 90.00 90.00 120.00°
Sites, in units of the cell vectors:
Tl: 0.000 0.000 0.000
W: 0.000 0.500 0.250
W: 0.000 0.500 0.750
W: 0.500 0.000 0.250
W: 0.500 0.000 0.750
W: 0.500 0.500 0.250
W: 0.500 0.500 0.750
O: 0.000 0.500 0.000
O: 0.000 0.500 0.500
O: 0.213 0.426 0.248
O: 0.213 0.426 0.752
O: 0.213 0.787 0.248
O: 0.213 0.787 0.752
O: 0.426 0.213 0.248
O: 0.426 0.213 0.752
O: 0.500 0.000 0.000
O: 0.500 0.000 0.500
O: 0.500 0.500 0.000
O: 0.500 0.500 0.500
O: 0.574 0.787 0.248
O: 0.574 0.787 0.752
O: 0.787 0.213 0.248
O: 0.787 0.213 0.752
O: 0.787 0.574 0.248
O: 0.787 0.574 0.752

=====

# 4
A relaxed structure of Tl2WO4, computed with GGA-PBEsol.

## Properties
* total moment: 0.0 μB per formula unit
* Fermi-level density of states: 0.00 states/eV/cell
* energy relative to the elements, uncorrected: -1.54 eV per atom

Cell: 6.175 6.175 8.295 Å, 90.00 90.00 120.00°
Sites, in units of the cell vectors:
Tl: 0.000 0.000 0.000
Tl: 0.000 0.000 0.500
Tl: 0.333 0.667 0.321
Tl: 0.667 0.333 0.679
W: 0.333 0.667 0.817
W: 0.667 0.333 0.183
O: 0.176 0.352 0.742
O: 0.176 0.824 0.742
O: 0.333 0.667 0.033
O: 0.352 0.176 0.258
O: 0.648 0.824 0.742
O: 0.667 0.333 0.967
O: 0.824 0.176 0.258
O: 0.824 0.648 0.258